Computed, not measured: a relaxed Cs2SnBr4F2 crystal at the GGA-PBE level of DFT.

Cell: 13.0704 7.8055 7.5567 Å, 90.00 124.41 90.00°
With the nearest neighbours (Å) after each atom.
Space group C2/m (No. 12)
Symmetry-distinct sites (fractional):
Cs1 0.2462 0.0000 0.2972 (multiplicity 4)  1 F 3.06
Sn1 0.0000 0.5000 0.0000 (multiplicity 2)  2 F 2.03
Br1 0.0343 0.2606 0.7925 (multiplicity 8)  1 Sn 2.64
F1 0.1831 0.5000 0.2417 (multiplicity 4)  1 Sn 2.03

Computed properties:
* density of states at the Fermi level: 0.00 states/eV/f.u.
* total magnetization: 0.00 μB/f.u.
* V: 35.34 A^3/atom
* ΔE_f (raw): -1730 meV/atom

=====

Computed, not measured: a relaxed NdAlGa2Au4 crystal at the GGA-PBE level of DFT.

Cell: 4.4999 4.4999 26.8523 Å, 90.00 90.00 120.00°
With the nearest neighbours (Å) after each atom.
Space group R-3m (No. 166, hexagonal axes)
Symmetry-distinct sites (fractional):
Nd1 0.0000 0.0000 0.0000 (multiplicity 3)  6 Au 3.17, 6 Ga 3.34
Al1 0.0000 0.0000 0.5000 (multiplicity 3)  8 Au 2.67-2.71
Ga1 0.0000 0.0000 0.2553 (multiplicity 6)  3 Au 2.61
Au1 0.0000 0.0000 0.1376 (multiplicity 6)  3 Al 2.71, 3 Au 3.03
Au2 0.0000 0.0000 0.4007 (multiplicity 6)  3 Ga 2.61, 1 Al 2.67

Computed properties:
* density of states at the Fermi level: 3.05 states/eV/f.u.
* total magnetization: 0.00 μB/f.u.
* V: 19.62 A^3/atom
* energy of formation from the pure elements: -0.48 eV per atom

=====

Computed, not measured: a relaxed AcTmPt crystal at the GGA-PBE level of DFT.

Cell: 7.6859 7.6859 4.9560 Å, 90.00 90.00 120.00°
With the nearest neighbours (Å) after each atom.
Space group P-62m (No. 189)
Symmetry-distinct sites (fractional):
Ac1 0.0000 0.5964 0.0000 (multiplicity 3)  5 Pt 3.10-3.41
Tm1 0.0000 0.2582 0.5000 (multiplicity 3)  4 Pt 2.89-3.17
Pt1 0.0000 0.0000 0.0000 (multiplicity 1)  3 Ac 3.10, 6 Tm 3.17
Pt2 0.3333 0.6667 0.5000 (multiplicity 2)  3 Tm 2.89

Computed properties:
* density of states at the Fermi level: 3.64 states/eV/f.u.
* total magnetization: 0.00 μB/f.u.
* V: 28.17 A^3/atom
* ΔE to the lowest computed polymorph: 72 meV/atom
* energy of formation from the pure elements: -0.82 eV per atom

=====

Computed, not measured: a relaxed Mg2HgPd4 crystal at the GGA-PBE level of DFT.

Cell: 4.8751 5.5394 9.2482 Å, 90.00 105.12 90.00°
With the nearest neighbours (Å) after each atom.
Space group P2_1/m (No. 11)
Symmetry-distinct sites (fractional):
Mg1 0.0677 0.2500 0.0089 (multiplicity 2)  6 Pd 2.66-2.88, 1 Hg 2.82, 2 Mg 2.84
Mg2 0.3802 0.7500 0.5676 (multiplicity 2)  5 Pd 2.56-2.82
Hg1 0.4525 0.2500 0.8288 (multiplicity 2)  6 Pd 2.70-2.81, 1 Mg 2.82
Pd1 0.1305 0.5009 0.2720 (multiplicity 4)  4 Mg 2.75-3.02, 5 Pd 2.76-2.89, 2 Hg 2.81-3.08
Pd2 0.1608 0.2500 0.5373 (multiplicity 2)  2 Mg 2.56-2.66, 1 Hg 2.70, 2 Pd 2.79
Pd3 0.3796 0.7500 0.8562 (multiplicity 2)  3 Mg 2.66-2.78, 3 Hg 2.81, 2 Pd 2.83

Computed properties:
* density of states at the Fermi level: 1.71 states/eV/f.u.
* total magnetization: 0.00 μB/f.u.
* V: 17.22 A^3/atom
* ΔE to the lowest computed polymorph: 0 meV/atom
* energy of formation from the pure elements: -0.39 eV per atom

=====

Computed, not measured: a relaxed Ba3HPt8 crystal at the GGA-PBE level of DFT.

Cell: 5.6536 5.6536 27.4369 Å, 90.00 90.00 120.00°
With the nearest neighbours (Å) after each atom.
Space group R3m (No. 160, hexagonal axes)
Symmetry-distinct sites (fractional):
Ba1 0.0000 0.0000 0.0000 (multiplicity 3)  12 Pt 3.13-3.39, 3 H 3.45
Ba2 0.0000 0.0000 0.1307 (multiplicity 3)  12 Pt 3.31-3.32, 4 Ba 3.59
Ba3 0.0000 0.0000 0.5185 (multiplicity 3)  9 Pt 3.15-3.38
H1 0.0000 0.0000 0.7072 (multiplicity 3)  3 Pt 1.84
Pt1 0.0000 0.0000 0.3176 (multiplicity 3)  6 Pt 2.76-2.80
Pt2 0.0000 0.0000 0.8193 (multiplicity 3)  6 Pt 2.82-2.86, 1 H 3.08
Pt3 0.0088 0.5044 0.0682 (multiplicity 9)  1 H 1.84
Pt4 0.1678 0.3355 0.9028 (multiplicity 9)  6 Pt 2.76-2.85

Computed properties:
* density of states at the Fermi level: 5.21 states/eV/f.u.
* total magnetization: 0.00 μB/f.u.
* V: 21.10 A^3/atom
* uncorrected energy: -5.369 eV/atom

=====

Computed, not measured: a relaxed LiTc crystal at the GGA-PBE level of DFT.

Cell: 3.9933 3.9933 4.6105 Å, 90.00 90.00 120.00°
With the nearest neighbours (Å) after each atom.
Space group P6_3/mmc (No. 194)
Symmetry-distinct sites (fractional):
Li1 0.3333 0.6667 0.2500 (multiplicity 2)  5 Tc 2.31
Tc1 0.3333 0.6667 0.7500 (multiplicity 2)  5 Li 2.31

Computed properties:
* density of states at the Fermi level: 2.56 states/eV/f.u.
* total magnetization: 0.00 μB/f.u.
* V: 15.92 A^3/atom
* ΔE to the lowest computed polymorph: 1899 meV/atom
* energy of formation from the pure elements: 1.99 eV per atom

=====

Computed, not measured: a relaxed Sn2HPb crystal at the GGA-PBE level of DFT.

Cell: 5.7864 5.7864 12.5728 Å, 90.00 90.00 90.00°
With the nearest neighbours (Å) after each atom.
Space group I-42d (No. 122)
Symmetry-distinct sites (fractional):
Sn1 0.0979 0.2500 0.1250 (multiplicity 8)  2 H 2.21
H1 0.0000 0.0000 0.0000 (multiplicity 4)  4 Sn 2.21
Pb1 0.0000 0.0000 0.5000 (multiplicity 4)  4 Sn 3.16

Computed properties:
* density of states at the Fermi level: 1.54 states/eV/f.u.
* total magnetization: 0.00 μB/f.u.
* V: 26.31 A^3/atom
* ΔE to the lowest computed polymorph: 0 meV/atom

=====

Computed, not measured: a relaxed NaIn4SnHg2 crystal at the GGA-PBE level of DFT.

Cell: 4.8356 4.8356 10.2136 Å, 90.00 90.00 90.00°
With the nearest neighbours (Å) after each atom.
Space group P4/mmm (No. 123)
Symmetry-distinct sites (fractional):
Na1 0.0000 0.0000 0.0000 (multiplicity 1)  8 Hg 3.69, 8 In 3.98
In1 0.0000 0.5000 0.3098 (multiplicity 4)  2 Hg 3.00, 2 Sn 3.10
Sn1 0.0000 0.0000 0.5000 (multiplicity 1)  8 In 3.10
Hg1 0.5000 0.5000 0.1365 (multiplicity 2)  1 Hg 2.79, 4 In 3.00

Computed properties:
* density of states at the Fermi level: 3.96 states/eV/f.u.
* total magnetization: 0.00 μB/f.u.
* V: 29.85 A^3/atom
* energy of formation from the pure elements: -0.02 eV per atom